Record 1
## La3Cu5O12 (GGA-PBE)

Data for an optimized crystal structure of La3Cu5O12.

Lattice parameters (Å, degrees): 11.005 11.005 11.005 109.47 109.47 109.47
Site moments in Bohr magnetons follow the coordinates.
Positions (direct):
La 0.875 0.750 0.125  0.00
La 0.125 0.875 0.750  0.00
La 0.750 0.875 0.625  0.00
La 0.625 0.250 0.375  0.00
La 0.875 0.125 0.250  0.00
La 0.250 0.125 0.375  0.00
La 0.125 0.250 0.875  0.00
La 0.750 0.375 0.125  0.00
La 0.375 0.625 0.250  0.00
La 0.625 0.375 0.750  0.00
La 0.250 0.625 0.875  0.00
La 0.375 0.750 0.625  0.00
O 0.826 0.923 0.305  0.08
O 0.979 0.382 0.305  0.08
O 0.882 0.305 0.479  0.08
O 0.195 0.521 0.618  0.08
O 0.097 0.923 0.118  0.08
O 0.077 0.903 0.382  0.08
O 0.979 0.597 0.174  0.08
O 0.326 0.521 0.403  0.08
O 0.903 0.826 0.521  0.08
O 0.021 0.403 0.826  0.08
O 0.923 0.826 0.805  0.08
O 0.423 0.305 0.326  0.08
O 0.097 0.174 0.479  0.08
O 0.805 0.326 0.923  0.08
O 0.618 0.021 0.195  0.08
O 0.674 0.195 0.577  0.08
O 0.826 0.903 0.021  0.08
O 0.305 0.423 0.826  0.08
O 0.403 0.382 0.577  0.08
O 0.618 0.597 0.923  0.08
O 0.805 0.479 0.382  0.08
O 0.903 0.077 0.882  0.08
O 0.577 0.695 0.674  0.08
O 0.382 0.979 0.805  0.08
O 0.882 0.577 0.903  0.08
O 0.479 0.805 0.882  0.08
O 0.118 0.695 0.521  0.08
O 0.521 0.326 0.903  0.08
O 0.174 0.077 0.695  0.08
O 0.305 0.882 0.979  0.08
O 0.479 0.674 0.097  0.08
O 0.195 0.674 0.077  0.08
O 0.118 0.423 0.097  0.08
O 0.174 0.097 0.979  0.08
O 0.423 0.118 0.597  0.08
O 0.695 0.577 0.174  0.08
O 0.021 0.618 0.695  0.08
O 0.923 0.097 0.618  0.08
O 0.597 0.979 0.674  0.08
O 0.382 0.403 0.077  0.08
O 0.077 0.174 0.195  0.08
O 0.403 0.021 0.326  0.08
O 0.597 0.618 0.423  0.08
O 0.326 0.805 0.423  0.08
O 0.577 0.882 0.403  0.08
O 0.695 0.118 0.021  0.08
O 0.521 0.195 0.118  0.08
O 0.674 0.479 0.597  0.08
Cu 0.875 0.625 0.750  0.30
Cu 0.625 0.875 0.250  0.30
Cu 0.750 0.125 0.875  0.30
Cu 0.250 0.375 0.625  0.30
Cu 0.500 0.000 0.000  -0.11
Cu 0.375 0.250 0.125  0.30
Cu 0.875 0.250 0.625  0.30
Cu 0.250 0.875 0.125  0.30
Cu 0.000 0.500 0.500  -0.11
Cu 0.000 0.500 0.000  -0.11
Cu 0.125 0.375 0.250  0.30
Cu 0.625 0.750 0.875  0.30
Cu 0.000 0.000 0.500  -0.11
Cu 0.500 0.500 0.500  -0.11
Cu 0.500 0.000 0.500  -0.11
Cu 0.750 0.625 0.375  0.30
Cu 0.375 0.125 0.750  0.30
Cu 0.000 0.000 0.000  -0.11
Cu 0.500 0.500 0.000  -0.11
Cu 0.125 0.750 0.375  0.30

Output
Formation energy (no corrections) (kJ per mole of atoms): -145
Symmetry: No. 230

=====

Record 2
## Pr2TmSn (GGA-PBE)

Data for an optimized crystal structure of Pr2TmSn.

Lattice parameters (Å, degrees): 3.576 3.576 12.412 81.72 81.72 60.00
Positions (direct):
Pr 0.912 0.912 0.264
Pr 0.088 0.088 0.736
Tm 0.500 0.500 0.500
Sn 0.000 0.000 0.000

Output
Symmetry: No. 166
Formation enthalpy at 0 K (eV/atom): 0.0542
Distance to the lowest polymorph of the same formula (meV/atom): 474

=====

Record 3
## LaHgH4Pd6 (GGA-PBE)

Data for an optimized crystal structure of LaHgH4Pd6.

Lattice parameters (Å, degrees): 5.469 5.469 6.568 90.00 90.00 120.00
Positions (direct):
H 0.667 0.333 0.154
H 0.333 0.667 0.846
H 0.333 0.667 0.154
H 0.667 0.333 0.846
Pd 0.500 0.000 0.285
Pd 0.500 0.000 0.715
Pd 0.500 0.500 0.285
Pd 0.000 0.500 0.715
Pd 0.000 0.500 0.285
Pd 0.500 0.500 0.715
La 0.000 0.000 0.000
Hg 0.000 0.000 0.500

Output
Electronic total energy (eV/atom): -4.429
Symmetry: No. 191

=====

Record 4
## Hf3TaNi2C (GGA-PBE)

Data for an optimized crystal structure of Hf3TaNi2C.

Lattice parameters (Å, degrees): 4.254 4.375 7.013 108.17 107.65 90.00
Positions (direct):
C 0.000 0.000 0.000
Hf 0.184 0.184 0.367
Hf 0.816 0.816 0.633
Hf 0.000 0.500 0.000
Ta 0.500 0.000 0.000
Ni 0.376 0.376 0.753
Ni 0.624 0.624 0.247

Output
Symmetry: No. 71
Formation enthalpy at 0 K (eV/atom): -0.3235

=====

Record 5
## TbHoCuPd (GGA-PBE)

Data for an optimized crystal structure of TbHoCuPd.

Lattice parameters (Å, degrees): 4.940 4.940 4.940 60.00 60.00 60.00
Positions (direct):
Tb 0.000 0.000 0.000
Pd 0.750 0.750 0.750
Cu 0.250 0.250 0.250
Ho 0.500 0.500 0.500

Output
Symmetry: No. 216
Formation enthalpy at 0 K (eV/atom): -0.5674
Distance to the lowest polymorph of the same formula (meV/atom): 33

=====

Record 6
## ScVCuOs2 (GGA-PBE)

Data for an optimized crystal structure of ScVCuOs2.

Lattice parameters (Å, degrees): 4.543 4.310 4.543 90.00 90.00 90.00
Positions (direct):
Sc 0.000 0.500 0.000
Os 0.500 0.000 0.000
Os 0.000 0.000 0.500
Cu 0.000 0.000 0.000
V 0.500 0.500 0.500

Output
Symmetry: No. 123
Formation enthalpy at 0 K (eV/atom): 1.3713

=====

Record 7
## CaTc2Ru (GGA-PBE)

Data for an optimized crystal structure of CaTc2Ru.

Lattice parameters (Å, degrees): 4.590 2.782 5.216 78.74 90.00 90.00
Positions (direct):
Tc 0.000 0.990 0.992
Tc 0.000 0.510 0.508
Ca 0.500 0.250 0.250
Ru 0.500 0.750 0.750

Output
Symmetry: No. 10
Formation enthalpy at 0 K (eV/atom): 0.5610
Distance to the lowest polymorph of the same formula (meV/atom): 199

=====

Record 8
## MgPdAu3 (GGA-PBE)

Data for an optimized crystal structure of MgPdAu3.

Lattice parameters (Å, degrees): 4.983 5.652 12.614 90.00 89.86 90.00
Positions (direct):
Au 0.331 0.456 0.356
Au 0.831 0.044 0.856
Au 0.168 0.690 0.558
Au 0.672 0.816 0.441
Au 0.832 0.310 0.442
Au 0.172 0.684 0.941
Au 0.332 0.190 0.942
Au 0.828 0.316 0.059
Au 0.328 0.184 0.559
Au 0.669 0.544 0.644
Au 0.169 0.956 0.144
Au 0.668 0.810 0.058
Mg 0.863 0.593 0.249
Mg 0.363 0.907 0.749
Mg 0.637 0.093 0.251
Mg 0.137 0.407 0.751
Pd 0.171 0.955 0.359
Pd 0.329 0.455 0.141
Pd 0.829 0.045 0.641
Pd 0.671 0.545 0.859

Output
Symmetry: No. 14
Formation enthalpy at 0 K (eV/atom): -0.2936
Distance to the lowest polymorph of the same formula (meV/atom): 0